(1)
# CrCuHRu2 (GGA-PBE, optimized geometry)
# * Fermi-level density of states: 5.35 states/eV/f.u.
# * crystal system: tetragonal
# * total DFT energy (no corrections): -6.9221 eV per atom
# * calculated volume: 56 Å³/cell
# * M_tot: 0.9 μB/f.u.
# * mass density: 9.48 Mg/m³
data_CrCuHRu2
_space_group_name_H-M_alt 'P 4/m m m'
_space_group_IT_number 123
_space_group_name_Hall '-P 4 2'
_cell_length_a 3.856
_cell_length_b 3.856
_cell_length_c 3.753
_cell_angle_alpha 90.00
_cell_angle_beta 90.00
_cell_angle_gamma 90.00
loop_
_atom_site_label
_atom_site_type_symbol
_atom_site_fract_x
_atom_site_fract_y
_atom_site_fract_z
_atom_site_occupancy
Cr1 Cr 0.000 0.000 0.000 1
Cu1 Cu 0.500 0.500 0.000 1
H1 H 0.000 0.000 0.500 1
Ru1 Ru 0.000 0.500 0.500 1

(2)
# Rb2SeF7 (GGA-PBE, optimized geometry)
# * Fermi-level density of states: 2.91 states/eV/f.u.
# * uncorrected formation energy: -2029 meV/atom
# * crystal system: monoclinic
# * total DFT energy (no corrections): -3.8813 eV per atom
# * calculated volume: 722 Å³/cell
# * M_tot: 1.0 μB/f.u.
# * mass density: 3.52 Mg/m³
data_Rb2SeF7
_space_group_name_H-M_alt 'C 1 2/c 1'
_space_group_IT_number 15
_space_group_name_Hall '-C 2yc'
_cell_length_a 14.379
_cell_length_b 6.677
_cell_length_c 10.140
_cell_angle_alpha 90.00
_cell_angle_beta 132.12
_cell_angle_gamma 90.00
loop_
_atom_site_label
_atom_site_type_symbol
_atom_site_fract_x
_atom_site_fract_y
_atom_site_fract_z
_atom_site_occupancy
Rb1 Rb 0.155 0.155 0.242 1
Se1 Se 0.000 0.310 0.750 1
F1 F 0.000 0.404 0.250 1
F2 F 0.074 0.053 0.908 1
F3 F 0.104 0.316 0.700 1
F4 F 0.143 0.389 0.990 1

(3)
# Pm2OsI (GGA-PBE, optimized geometry)
# * Fermi-level density of states: 2.82 states/eV/f.u.
# * uncorrected formation energy: -483 meV/atom
# * crystal system: trigonal
# * total DFT energy (no corrections): -6.0531 eV per atom
# * calculated volume: 365 Å³/cell
# * M_tot: 0.0 μB/f.u.
# * mass density: 8.28 Mg/m³
data_Pm2OsI
_space_group_name_H-M_alt 'R -3 m'
_space_group_IT_number 166
_space_group_name_Hall '-R 3 2"'
_cell_length_a 4.1808
_cell_length_b 4.1808
_cell_length_c 24.1256
_cell_angle_alpha 90.00
_cell_angle_beta 90.00
_cell_angle_gamma 120.00
loop_
_atom_site_label
_atom_site_type_symbol
_atom_site_fract_x
_atom_site_fract_y
_atom_site_fract_z
_atom_site_occupancy
Pm1 Pm 0.0000 0.0000 0.2282 1
Os1 Os 0.0000 0.0000 0.5000 1
I1 I 0.0000 0.0000 0.0000 1

(4)
# TaFe2PtCl (GGA-PBE, optimized geometry)
# * Fermi-level density of states: 4.07 states/eV/f.u.
# * uncorrected formation energy: 951 meV/atom
# * crystal system: tetragonal
# * total DFT energy (no corrections): -6.3822 eV per atom
# * calculated volume: 76 Å³/cell
# * M_tot: 3.4 μB/f.u.
# * mass density: 11.42 Mg/m³
data_TaFe2PtCl
_space_group_name_H-M_alt 'P 4/m m m'
_space_group_IT_number 123
_space_group_name_Hall '-P 4 2'
_cell_length_a 4.058
_cell_length_b 4.058
_cell_length_c 4.619
_cell_angle_alpha 90.00
_cell_angle_beta 90.00
_cell_angle_gamma 90.00
loop_
_atom_site_label
_atom_site_type_symbol
_atom_site_fract_x
_atom_site_fract_y
_atom_site_fract_z
_atom_site_occupancy
Ta1 Ta 0.000 0.000 0.000 1
Fe1 Fe 0.000 0.500 0.500 1
Pt1 Pt 0.500 0.500 0.000 1
Cl1 Cl 0.500 0.500 0.500 1